Record 1
# ZrCu2Sb (PBEsol, relaxed)
# Uncorrected formation energy   -0.168 eV per atom
# Calculated volume   17.32 Å³ per atom
data_ZrCu2Sb
_symmetry_space_group_name_H-M 'P 1'
_symmetry_Int_Tables_number 1
_symmetry_space_group_name_Hall 'P 1'
_cell_length_a 3.063
_cell_length_b 4.240
_cell_length_c 5.334
_cell_angle_alpha 90.00
_cell_angle_beta 90.00
_cell_angle_gamma 90.00
loop_
_atom_site_label
_atom_site_fract_x
_atom_site_fract_y
_atom_site_fract_z
Cu1 0.500 0.000 0.723
Cu2 0.500 0.000 0.277
Sb1 0.500 0.500 0.000
Zr1 0.000 0.500 0.500

=====

Record 2
# Co2P (PBEsol, relaxed)
# Energy relative to the elements   -337 meV per atom
# Calculated volume   10.36 Å³ per atom
data_Co2P
_symmetry_space_group_name_H-M 'P 1'
_symmetry_Int_Tables_number 1
_symmetry_space_group_name_Hall 'P 1'
_cell_length_a 4.327
_cell_length_b 4.327
_cell_length_c 4.327
_cell_angle_alpha 107.72
_cell_angle_beta 107.72
_cell_angle_gamma 113.02
loop_
_atom_site_label
_atom_site_fract_x
_atom_site_fract_y
_atom_site_fract_z
Co1 0.169 0.669 0.838
Co2 0.831 0.331 0.162
Co3 0.331 0.169 0.500
Co4 0.669 0.831 0.500
P1 0.750 0.750 0.000
P2 0.250 0.250 0.000

=====

Record 3
# ZrTi2Al2 (PBEsol, relaxed)
# Energy relative to the elements   -310 meV per atom
# Calculated volume   17.38 Å³ per atom
data_ZrTi2Al2
_symmetry_space_group_name_H-M 'P 1'
_symmetry_Int_Tables_number 1
_symmetry_space_group_name_Hall 'P 1'
_cell_length_a 3.142
_cell_length_b 7.438
_cell_length_c 7.438
_cell_angle_alpha 90.00
_cell_angle_beta 90.00
_cell_angle_gamma 90.00
loop_
_atom_site_label
_atom_site_fract_x
_atom_site_fract_y
_atom_site_fract_z
Al1 0.000 0.122 0.378
Al2 0.000 0.378 0.878
Al3 0.000 0.622 0.122
Al4 0.000 0.878 0.622
Ti1 0.500 0.324 0.176
Ti2 0.500 0.824 0.324
Ti3 0.500 0.676 0.824
Ti4 0.500 0.176 0.676
Zr1 0.000 0.500 0.500
Zr2 0.000 0.000 0.000